Entry 1:
Here is an optimized crystal structure of CdSb2W from Alexandria. Energies are from PBE-GGA.

Lattice parameters (Å, degrees): 5.0073 5.0073 5.0073 60.00 60.00 60.00
Element x y z (fractional)
Cd 0.0000 0.0000 0.0000
Sb 0.5000 0.5000 0.5000
Sb 0.7500 0.7500 0.7500
W 0.2500 0.2500 0.2500

Output
Calculated density, g/cm3: 10.1
Symmetry: F-43m, No. 216
Raw formation energy, eV per atom: 0.9690
Electronic total energy, eV/atom: -4.56
Magnetization, μB/atom: 0.391

Entry 2:
Here is an optimized crystal structure of Cd2SbW from Alexandria. Energies are from PBE-GGA.

Lattice parameters (Å, degrees): 3.8842 3.8842 5.5355 90.00 90.00 90.00
Element x y z (fractional)
Cd 0.0000 0.0000 0.2390
Cd 0.0000 0.0000 0.7610
Sb 0.5000 0.5000 0.5000
W 0.5000 0.5000 0.0000

Output
Calculated density, g/cm3: 10.5
Symmetry: P4/mmm, No. 123
Raw formation energy, eV per atom: 0.6839
Electronic total energy, eV/atom: -4.04
Magnetization, μB/atom: 0.000